(1)
# Zr2CrPt

A relaxed structure of Zr2CrPt (PBE, the Alexandria database).

Cell lengths 3.1106, 3.1106, 27.7237 Å; angles 90.00, 90.00, 120.00 degrees
Space group R3m (No. 160, hexagonal axes)
One atom of each set of equivalent atoms:
Zr 0.0000 0.0000 0.0000 [3 per cell]
Zr 0.0000 0.0000 0.2389 [3 per cell]
Cr 0.0000 0.0000 0.7502 [3 per cell]
Pt 0.0000 0.0000 0.4928 [3 per cell]

Results
D(E_F), states/eV/f.u.: 3.4
Excess energy over the best structure of this formula in the dataset, eV per formula unit: 1.83

***

(2)
# PaTl4Sb3O12

A relaxed structure of PaTl4Sb3O12 (PBE, the Alexandria database).

Cell lengths 8.335, 8.335, 8.335 Å; angles 90.00, 90.00, 90.00 degrees
Space group Im-3m (No. 229)
One atom of each set of equivalent atoms:
Pa 0.000 0.000 0.000 [2 per cell]
Tl 0.250 0.250 0.250 [8 per cell]
Sb 0.000 0.000 0.500 [6 per cell]
O 0.000 0.000 0.261 [12 per cell]
O 0.000 0.250 0.500 [12 per cell]

Results
D(E_F), states/eV/f.u.: 3.0
E_form (uncorrected), eV/f.u.: -29.3

***

(3)
# CaCuF2

A relaxed structure of CaCuF2 (PBE, the Alexandria database).

Cell lengths 6.067, 6.067, 6.067 Å; angles 90.00, 90.00, 90.00 degrees
Space group Fm-3m (No. 225)
One atom of each set of equivalent atoms:
Ca 0.000 0.000 0.000 [4 per cell]
Cu 0.000 0.000 0.500 [4 per cell]
F 0.250 0.250 0.250 [8 per cell]

Results
D(E_F), states/eV/f.u.: 3.5
Excess energy over the best structure of this formula in the dataset, eV per formula unit: 1.61
E_form (uncorrected), eV/f.u.: -7.5

***

(4)
# Pm4TcI2Br

A relaxed structure of Pm4TcI2Br (PBE, the Alexandria database).

Cell lengths 7.929, 4.153, 8.221 Å; angles 90.00, 104.93, 90.00 degrees
Space group P2/m (No. 10)
One atom of each set of equivalent atoms:
Pm 0.197 0.000 0.190 [2 per cell]
Pm 0.216 0.500 0.801 [2 per cell]
Tc 0.000 0.500 0.000 [1 per cell]
I 0.000 0.000 0.500 [1 per cell]
I 0.500 0.500 0.500 [1 per cell]
Br 0.500 0.000 0.000 [1 per cell]

Results
D(E_F), states/eV/f.u.: 5.6
E_form (uncorrected), eV/f.u.: -5.7